[1]
Mn2TlRu, optimized geometry, DFT PBE-GGA; SG = P4/mmm, No. 123; energy relative to the lowest polymorph listed for this composition = 0.26 eV per formula unit; ΔE_f = 0.41 eV per atom; density of states at the Fermi level = 2.79 states/eV/cell
1.0
4.0924 0.0000 0.0000
0.0000 4.0924 0.0000
0.0000 0.0000 3.8598
Mn Tl Ru
2 1 1
direct
0.0000 0.5000 0.0000
0.5000 0.0000 0.0000
0.0000 0.0000 0.5000
0.5000 0.5000 0.5000

[2]
La2Pd2Pt, optimized geometry, DFT PBE-GGA; SG = I4/mmm, No. 139; energy relative to the lowest polymorph listed for this composition = 0.90 eV per formula unit; ΔE_f = -0.74 eV per atom; density of states at the Fermi level = 2.10 states/eV/cell
1.0
-2.7779 2.7779 4.0297
2.7779 -2.7779 4.0297
2.7779 2.7779 -4.0297
La Pd Pt
2 2 1
direct
0.2500 0.7500 0.5000
0.7500 0.2500 0.5000
0.1599 0.1599 0.0000
0.8401 0.8401 0.0000
0.5000 0.5000 0.0000

[3]
PrZrCdAg, optimized geometry, DFT PBE-GGA; SG = F-43m, No. 216; ΔE_f = -0.04 eV per atom; density of states at the Fermi level = 3.51 states/eV/cell
1.0
0.0000 3.6696 3.6696
3.6696 0.0000 3.6696
3.6696 3.6696 0.0000
Pr Zr Cd Ag
1 1 1 1
direct
0.0000 0.0000 0.0000
0.5000 0.5000 0.5000
0.7500 0.7500 0.7500
0.2500 0.2500 0.2500

[4]
NaTaBiSb, optimized geometry, DFT PBE-GGA; SG = P1, No. 1; raw formation energy = 0.28 eV per atom; energy relative to the lowest polymorph listed for this composition = 1.22 eV per formula unit; density of states at the Fermi level = 2.43 states/eV/cell
1.0
3.1708 0.0000 0.0000
0.9219 5.4765 0.0000
1.3542 0.1362 5.6383
Na Ta Bi Sb
1 1 1 1
direct
0.0000 0.0000 0.0000
0.1673 0.6654 0.4920
0.5275 0.5080 0.9591
0.4452 0.1142 0.4865